Below is a crystal of SrBe4Mo relaxed with PBEsol, with properties calculated at the SCAN level.

Computed properties:
Density of states at the Fermi level: 0.500 states/eV per atom
Total magnetic moment: 8.00 μB per cell
Density: 4.735 Mg/m³
ΔE_f: 541 meV per atom
Calculated volume: 308.0 Å³ per cell
Calculated total energy: -11.888 eV/atom

```
data_SrBe4Mo
_chemical_formula_sum 'Sr4 Be16 Mo4'
_symmetry_space_group_name_H-M 'F -4 3 m'
_symmetry_Int_Tables_number 216
_symmetry_space_group_name_Hall 'F -4 2 3'
_cell_length_a 6.754
_cell_length_b 6.754
_cell_length_c 6.754
_cell_angle_alpha 90.00
_cell_angle_beta 90.00
_cell_angle_gamma 90.00
loop_
_atom_site_label
_atom_site_fract_x
_atom_site_fract_y
_atom_site_fract_z
Sr1 0.000 0.000 0.000
Be1 0.120 0.120 0.380
Mo1 0.250 0.250 0.750
```